1) The following is a DFT calculation (GGA-PBEsol) of MgCr2P after structural relaxation.

Cell: 2.732 2.732 7.538 Å, 90.00 90.00 108.63°
Element x y z (fractional)
Mg1 0.000 0.000 0.000
Cr1 0.500 0.500 0.298
Cr2 0.500 0.500 0.702
P1 0.000 0.000 0.500

## Properties
V (Å³ per atom): 13.33
Total magnetic moment (μB/cell): 0.0

2) The following is a DFT calculation (GGA-PBEsol) of MgCr2P after structural relaxation.

Cell: 3.678 3.678 3.716 Å, 90.00 90.00 90.00°
Element x y z (fractional)
Mg1 0.000 0.000 0.000
Cr1 0.000 0.500 0.500
Cr2 0.500 0.000 0.500
P1 0.500 0.500 0.000

## Properties
V (Å³ per atom): 12.56
Total magnetic moment (μB/cell): 2.5

Verdict on stability: 2) comes out at the bottom.

1) The following is a DFT calculation (GGA-PBEsol) of MgCrP2 after structural relaxation.

Cell: 2.604 2.604 9.111 Å, 90.00 90.00 103.46°
Element x y z (fractional)
Mg1 0.000 0.000 0.000
Cr1 0.500 0.500 0.241
P1 0.000 0.000 0.423
P2 0.500 0.500 0.766

## Properties
V (Å³ per atom): 15.02
Total magnetic moment (μB/cell): 0.0

2) The following is a DFT calculation (GGA-PBEsol) of MgCrP2 after structural relaxation.

Cell: 6.972 6.972 6.972 Å, 26.27 26.27 26.27°
Element x y z (fractional)
Mg1 0.000 0.000 0.000
Cr1 0.500 0.500 0.500
P1 0.238 0.238 0.238
P2 0.762 0.762 0.762

## Properties
V (Å³ per atom): 14.62
Total magnetic moment (μB/cell): 0.0

Verdict on stability: 1) comes out at the bottom.

1) The following is a DFT calculation (GGA-PBEsol) of MgCrP2 after structural relaxation.

Cell: 4.281 4.281 3.251 Å, 90.93 90.93 101.21°
Element x y z (fractional)
Mg1 0.000 0.000 0.000
Cr1 0.500 0.500 0.000
P1 0.000 0.500 0.500
P2 0.500 0.000 0.500

## Properties
V (Å³ per atom): 14.61
Total magnetic moment (μB/cell): 3.1

2) The following is a DFT calculation (GGA-PBEsol) of MgCrP2 after structural relaxation.

Cell: 3.995 3.995 5.105 Å, 103.55 103.55 46.28°
Element x y z (fractional)
Mg1 0.000 0.000 0.000
Cr1 0.500 0.500 0.500
P1 0.234 0.234 0.674
P2 0.766 0.766 0.326

## Properties
V (Å³ per atom): 14.23
Total magnetic moment (μB/cell): 0.0

Verdict on stability: 1) comes out at the bottom.